ScIn2Au (PBE-GGA, optimized geometry); formation enthalpy at 0 K = -0.33 eV/atom
1.0
0.000 3.510 3.510
3.510 0.000 3.510
3.510 3.510 0.000
Sc In Au
1 2 1
Direct
0.000 0.000 0.000
0.500 0.500 0.500
0.750 0.750 0.750
0.250 0.250 0.250

=====

NaCd2InO4 (PBE-GGA, optimized geometry); E = -4.478 eV/atom
1.0
-2.630 2.630 4.834
2.630 -2.630 4.834
2.630 2.630 -4.834
Na Cd In O
1 2 1 4
Direct
0.000 0.000 0.000
0.250 0.750 0.500
0.750 0.250 0.500
0.500 0.500 0.000
0.146 0.146 0.538
0.392 0.854 0.000
0.608 0.608 0.462
0.854 0.392 0.000